This record from Alexandria via LeMat-Bulk describes crystalline Na3Li2Pb at its relaxed geometry. The functional is GGA-PBE.

Results
Offset from the most stable computed form, eV per atom: 0.000
Formation energy from the elements, eV/atom: -0.10

Cell: 5.516 5.516 11.174 Å, 101.31 101.31 101.44°
Fractional positions:
Na  0.125  0.875  0.750
Na  0.214  0.464  0.927
Na  0.464  0.214  0.427
Na  0.536  0.786  0.573
Na  0.786  0.536  0.073
Na  0.875  0.125  0.250
Li  0.059  0.308  0.616
Li  0.308  0.059  0.116
Li  0.692  0.941  0.884
Li  0.941  0.692  0.384
Pb  0.374  0.626  0.250
Pb  0.626  0.374  0.750